The following is a DFT calculation (PBE-GGA) of an optimized crystal structure of HAuF2.

Properties
Uncorrected energy (eV/atom): -2.499
Relative energy among the computed polymorphs (meV per atom): 629
Mass density (Mg/m³): 8.7
N(E_F) (states/eV per cell): 19.62
Total moment (μB per formula unit): 0.05

Cell lengths 5.6382, 5.6382, 5.6382 Å; angles 90.00, 90.00, 90.00 degrees
Space group Fm-3m (No. 225)
Unique sites:
H  0.0000  0.0000  0.0000 [4 per cell]
Au  0.0000  0.0000  0.5000 [4 per cell]
F  0.2500  0.2500  0.2500 [8 per cell]